This record from Alexandria via LeMat-Bulk describes a geometry-optimized Ac6Nd3In structure. The functional is PBE.

Computed properties:
- Calculated volume: 804.0 Å³ per cell
- Energy relative to the elements: -0.0437 eV/atom
- N(E_F): 27.74 states/eV per cell
- Magnetization: 0.0 μB per formula unit
- Crystal system: monoclinic

Lattice parameters (Å, degrees): 6.137 10.384 13.565 111.57 90.00 90.00
Atoms (fractional coordinates):
Ac (0.750, 0.538, 0.930)
Ac (0.250, 0.076, 0.865)
Ac (0.250, 0.155, 0.172)
Ac (0.250, 0.462, 0.070)
Ac (0.750, 0.845, 0.828)
Ac (0.750, 0.761, 0.502)
Ac (0.250, 0.239, 0.498)
Ac (0.250, 0.670, 0.658)
Ac (0.750, 0.330, 0.342)
Ac (0.750, 0.147, 0.693)
Ac (0.750, 0.924, 0.135)
Ac (0.250, 0.853, 0.307)
Nd (0.250, 0.530, 0.359)
Nd (0.250, 0.767, 0.972)
Nd (0.750, 0.233, 0.028)
Nd (0.750, 0.600, 0.219)
Nd (0.250, 0.400, 0.781)
Nd (0.750, 0.470, 0.641)
In (0.250, 0.960, 0.587)
In (0.750, 0.040, 0.413)

This record from Alexandria via LeMat-Bulk describes a geometry-optimized BaLi3Cu4Br12 structure. The functional is PBE.

Computed properties:
- Formation energy from raw total energies: -868 meV/atom
- Calculated volume: 621.6 Å³ per cell
- N(E_F): 12.04 states/eV per cell
- Magnetization: 2.0 μB per formula unit
- Crystal system: trigonal

Lattice parameters (Å, degrees): 8.874 8.874 8.874 104.17 104.17 104.17
Last column: magnetic moment on the atom in μB.
Atoms (fractional coordinates):
Li (0.428, 0.000, 0.572)  0.00
Li (0.572, 0.428, 0.000)  0.00
Li (0.000, 0.572, 0.428)  0.00
Br (0.659, 0.763, 0.017)  0.05
Br (0.500, 0.333, 0.667)  0.05
Br (0.341, 0.983, 0.237)  0.05
Br (0.094, 0.906, 0.500)  0.11
Br (0.237, 0.341, 0.983)  0.05
Br (0.500, 0.094, 0.906)  0.11
Br (0.333, 0.667, 0.500)  0.05
Br (0.906, 0.500, 0.094)  0.11
Br (0.983, 0.237, 0.341)  0.05
Br (0.763, 0.017, 0.659)  0.05
Br (0.667, 0.500, 0.333)  0.05
Br (0.017, 0.659, 0.763)  0.05
Cu (0.925, 0.075, 0.500)  0.27
Cu (0.075, 0.500, 0.925)  0.27
Cu (0.500, 0.925, 0.075)  0.27
Cu (0.500, 0.500, 0.500)  0.12
Ba (0.000, 0.000, 0.000)  0.00

| no. | density (Mg/m³) |
| --- | --- |
| 1 | 7.888 |
| 2 | 3.663 |